Entry 1:
HgAs2Br | PBE | optimized geometry

Unit cell a=2.7412 b=6.2115 c=6.7207 alpha=90.00 beta=90.00 gamma=90.00
Fractional coordinates of all 4 atoms:
Hg: 0.0000 0.0000 0.0000
As: 0.5000 0.5000 0.1763
As: 0.5000 0.5000 0.8237
Br: 0.0000 0.0000 0.5000

Summary:
- formation energy (no corrections) (eV/atom) = 0.223
- SG = Pmmm (47)

Entry 2:
Ba2YCu | PBE | optimized geometry

Unit cell a=7.3989 b=7.3989 c=6.1164 alpha=114.39 beta=114.39 gamma=30.62
Fractional coordinates of all 4 atoms:
Ba: 0.0000 0.0000 0.0000
Ba: 0.1915 0.1915 0.6913
Y: 0.3741 0.3741 0.3741
Cu: 0.7142 0.7142 0.2123

Summary:
- formation energy from the elements (meV per atom) = 146
- SG = Cm (8)

Entry 3:
CeLuTlCd | PBE | optimized geometry

Unit cell a=5.3622 b=5.3622 c=5.3622 alpha=60.00 beta=60.00 gamma=60.00
Fractional coordinates of all 4 atoms:
Ce: 0.0000 0.0000 0.0000
Lu: 0.5000 0.5000 0.5000
Tl: 0.7500 0.7500 0.7500
Cd: 0.2500 0.2500 0.2500

Summary:
- formation energy from the elements (meV per atom) = -234
- SG = F-43m (216)

Entry 4:
BaTmPdSe3 | PBE | optimized geometry

Unit cell a=8.6462 b=4.2137 c=9.4546 alpha=90.00 beta=106.06 gamma=90.00
Fractional coordinates of all 12 atoms:
Ba: 0.1962 0.2500 0.2424
Ba: 0.8038 0.7500 0.7576
Tm: 0.3196 0.7500 0.8436
Tm: 0.6804 0.2500 0.1564
Pd: 0.0931 0.2500 0.5780
Pd: 0.9069 0.7500 0.4220
Se: 0.1100 0.2500 0.8727
Se: 0.2277 0.7500 0.5309
Se: 0.4525 0.7500 0.1580
Se: 0.5475 0.2500 0.8420
Se: 0.7723 0.2500 0.4691
Se: 0.8900 0.7500 0.1273

Summary:
- formation energy (no corrections) (eV/atom) = -1.517
- SG = P2_1/m (11)